1.
# BeAl2Ni PBE-GGA relaxed
data_BeAl2Ni
_chemical_formula_sum 'Be2 Al4 Ni2'
_cell_length_a 3.733
_cell_length_b 3.733
_cell_length_c 6.984
_cell_angle_alpha 90.00
_cell_angle_beta 90.00
_cell_angle_gamma 90.00
_space_group_name_H-M_alt 'I 4/m m m'
_space_group_IT_number 139
_space_group_name_Hall '-I 4 2'
loop_
_atom_site_label
_atom_site_fract_x
_atom_site_fract_y
_atom_site_fract_z
Be1 0.000 0.000 0.000
Al1 0.000 0.500 0.250
Ni1 0.000 0.000 0.500
# Fermi-level density of states: 1.6 states/eV/f.u.
# Total magnetization: 0.00 Bohr magnetons per cell
# DFT formation energy: -0.824 eV/f.u.

***

2.
# GdErAg PBE-GGA relaxed
data_GdErAg
_chemical_formula_sum 'Gd2 Er2 Ag2'
_cell_length_a 3.606
_cell_length_b 3.606
_cell_length_c 12.374
_cell_angle_alpha 90.00
_cell_angle_beta 90.00
_cell_angle_gamma 90.00
_space_group_name_H-M_alt 'I 4 m m'
_space_group_IT_number 107
_space_group_name_Hall 'I 4 -2'
loop_
_atom_site_label
_atom_site_fract_x
_atom_site_fract_y
_atom_site_fract_z
Gd1 0.000 0.000 0.000
Er1 0.000 0.000 0.299
Ag1 0.000 0.000 0.659
# Fermi-level density of states: 3.3 states/eV/f.u.
# Total magnetization: 16.32 Bohr magnetons per cell
# DFT formation energy: -0.578 eV/f.u.

***

3.
# Tb5Tm4Pu PBE-GGA relaxed
data_Tb5Tm4Pu
_chemical_formula_sum 'Tb10 Tm8 Pu2'
_cell_length_a 16.643
_cell_length_b 3.479
_cell_length_c 11.234
_cell_angle_alpha 90.00
_cell_angle_beta 108.85
_cell_angle_gamma 90.00
_space_group_name_H-M_alt 'C 1 2/m 1'
_space_group_IT_number 12
_space_group_name_Hall '-C 2y'
loop_
_atom_site_label
_atom_site_fract_x
_atom_site_fract_y
_atom_site_fract_z
Tb1 0.000 0.000 0.000
Tb2 0.187 0.500 0.577
Tb3 0.211 0.500 0.116
Tm1 0.083 0.500 0.790
Tm2 0.105 0.000 0.298
Pu1 0.000 0.000 0.500
# Fermi-level density of states: 17.4 states/eV/f.u.
# Total magnetization: 11.79 Bohr magnetons per cell
# DFT formation energy: 0.546 eV/f.u.

***

4.
# KPr2AuO5 PBE-GGA relaxed
data_KPr2AuO5
_chemical_formula_sum 'K2 Pr4 Au2 O10'
_cell_length_a 6.908
_cell_length_b 6.908
_cell_length_c 6.020
_cell_angle_alpha 90.00
_cell_angle_beta 90.00
_cell_angle_gamma 90.00
_space_group_name_H-M_alt 'P 4/m b m'
_space_group_IT_number 127
_space_group_name_Hall '-P 4 2ab'
loop_
_atom_site_label
_atom_site_fract_x
_atom_site_fract_y
_atom_site_fract_z
K1 0.000 0.000 0.000
Pr1 0.179 0.321 0.500
Au1 0.000 0.500 0.000
O1 0.000 0.000 0.500
O2 0.134 0.634 0.255
# Fermi-level density of states: 0.0 states/eV/f.u.
# Total magnetization: 0.00 Bohr magnetons per cell
# Formation energy without anion corrections: -2.171 eV/atom

***

5.
# AcTb2PmDy6 PBE-GGA relaxed
data_AcTb2PmDy6
_chemical_formula_sum 'Ac4 Tb8 Pm4 Dy24'
_cell_length_a 9.215
_cell_length_b 15.328
_cell_length_c 9.592
_cell_angle_alpha 90.00
_cell_angle_beta 95.42
_cell_angle_gamma 90.00
_space_group_name_H-M_alt 'C 1 2/c 1'
_space_group_IT_number 15
_space_group_name_Hall '-C 2yc'
loop_
_atom_site_label
_atom_site_fract_x
_atom_site_fract_y
_atom_site_fract_z
Ac1 0.000 0.030 0.250
Tb1 0.245 0.443 0.452
Pm1 0.000 0.410 0.750
Dy1 0.062 0.189 0.942
Dy2 0.101 0.390 0.117
Dy3 0.210 0.231 0.320
# Fermi-level density of states: 15.2 states/eV/f.u.
# Total magnetization: 0.00 Bohr magnetons per cell
# DFT formation energy: 1.311 eV/f.u.

***

6.
# Hf6NiBi3 PBE-GGA relaxed
data_Hf6NiBi3
_chemical_formula_sum 'Hf12 Ni2 Bi6'
_cell_length_a 6.835
_cell_length_b 7.482
_cell_length_c 11.317
_cell_angle_alpha 90.00
_cell_angle_beta 124.90
_cell_angle_gamma 90.00
_space_group_name_H-M_alt 'P 1 21/c 1'
_space_group_IT_number 14
_space_group_name_Hall '-P 2ybc'
loop_
_atom_site_label
_atom_site_fract_x
_atom_site_fract_y
_atom_site_fract_z
Hf1 0.011 0.068 0.237
Hf2 0.155 0.690 0.041
Hf3 0.363 0.147 0.034
Ni1 0.000 0.000 0.000
Bi1 0.347 0.134 0.750
Bi2 0.500 0.000 0.500
# Fermi-level density of states: 8.0 states/eV/f.u.
# Total magnetization: 0.00 Bohr magnetons per cell
# DFT formation energy: 0.291 eV/f.u.

***

7.
# K2TiNb3O12 PBE-GGA relaxed
data_K2TiNb3O12
_chemical_formula_sum 'K6 Ti3 Nb9 O36'
_cell_length_a 7.5074
_cell_length_b 7.5074
_cell_length_c 18.1204
_cell_angle_alpha 90.00
_cell_angle_beta 90.00
_cell_angle_gamma 120.00
_space_group_name_H-M_alt 'R -3 m'
_space_group_IT_number 166
_space_group_name_Hall '-R 3 2"'
loop_
_atom_site_label
_atom_site_fract_x
_atom_site_fract_y
_atom_site_fract_z
K1 0.0000 0.0000 0.1277
Ti1 0.0000 0.0000 0.5000
Nb1 0.0000 0.5000 0.0000
O1 0.0809 0.5404 0.3566
O2 0.0867 0.5434 0.1056
# Fermi-level density of states: 11.7 states/eV/f.u.
# Total magnetization: 9.24 Bohr magnetons per cell
# Formation energy without anion corrections: -2.162 eV/atom

***

8.
# Er3HgSb PBE-GGA relaxed
data_Er3HgSb
_chemical_formula_sum 'Er12 Hg4 Sb4'
_cell_length_a 17.004
_cell_length_b 4.857
_cell_length_c 6.471
_cell_angle_alpha 90.00
_cell_angle_beta 93.62
_cell_angle_gamma 90.00
_space_group_name_H-M_alt 'C 1 2/m 1'
_space_group_IT_number 12
_space_group_name_Hall '-C 2y'
loop_
_atom_site_label
_atom_site_fract_x
_atom_site_fract_y
_atom_site_fract_z
Er1 0.007 0.000 0.257
Er2 0.109 0.500 0.998
Er3 0.203 0.000 0.636
Hg1 0.206 0.000 0.118
Sb1 0.101 0.500 0.497
# Fermi-level density of states: 3.7 states/eV/f.u.
# Total magnetization: 0.00 Bohr magnetons per cell
# Formation energy without anion corrections: -0.542 eV/atom

***

9.
# Pr2As3IrRh4 PBE-GGA relaxed
data_Pr2As3IrRh4
_chemical_formula_sum 'Pr2 As3 Ir1 Rh4'
_cell_length_a 4.284
_cell_length_b 4.284
_cell_length_c 10.209
_cell_angle_alpha 90.00
_cell_angle_beta 90.00
_cell_angle_gamma 90.00
_space_group_name_H-M_alt 'P -4 m 2'
_space_group_IT_number 115
_space_group_name_Hall 'P -4 -2'
loop_
_atom_site_label
_atom_site_fract_x
_atom_site_fract_y
_atom_site_fract_z
Pr1 0.000 0.500 0.248
As1 0.000 0.000 0.000
As2 0.000 0.500 0.633
Ir1 0.500 0.500 0.000
Rh1 0.000 0.000 0.500
Rh2 0.000 0.500 0.870
Rh3 0.500 0.500 0.500
# Fermi-level density of states: 9.3 states/eV/f.u.
# Total magnetization: 0.00 Bohr magnetons per cell
# DFT formation energy: -7.504 eV/f.u.

***

10.
# YAgS2 PBE-GGA relaxed
data_YAgS2
_chemical_formula_sum 'Y2 Ag2 S4'
_cell_length_a 6.850
_cell_length_b 4.101
_cell_length_c 6.522
_cell_angle_alpha 90.00
_cell_angle_beta 100.45
_cell_angle_gamma 90.00
_space_group_name_H-M_alt 'C 1 2 1'
_space_group_IT_number 5
_space_group_name_Hall 'C 2y'
loop_
_atom_site_label
_atom_site_fract_x
_atom_site_fract_y
_atom_site_fract_z
Y1 0.000 0.000 0.000
Ag1 0.000 0.751 0.500
S1 0.202 0.495 0.232
# Fermi-level density of states: 0.0 states/eV/f.u.
# Total magnetization: 0.00 Bohr magnetons per cell
# Formation energy without anion corrections: -1.314 eV/atom

***

11.
# Si2RhBr PBE-GGA relaxed
data_Si2RhBr
_chemical_formula_sum 'Si4 Rh2 Br2'
_cell_length_a 4.998
_cell_length_b 9.059
_cell_length_c 3.178
_cell_angle_alpha 90.00
_cell_angle_beta 90.00
_cell_angle_gamma 90.00
_space_group_name_H-M_alt 'C m m m'
_space_group_IT_number 65
_space_group_name_Hall '-C 2 2'
loop_
_atom_site_label
_atom_site_fract_x
_atom_site_fract_y
_atom_site_fract_z
Si1 0.000 0.205 0.000
Rh1 0.000 0.000 0.500
Br1 0.000 0.500 0.500
# Fermi-level density of states: 2.0 states/eV/f.u.
# Total magnetization: 0.00 Bohr magnetons per cell
# Formation energy without anion corrections: 0.061 eV/atom

***

12.
# MgCu2W PBE-GGA relaxed
data_MgCu2W
_chemical_formula_sum 'Mg3 Cu6 W3'
_cell_length_a 2.7745
_cell_length_b 2.7745
_cell_length_c 26.9070
_cell_angle_alpha 90.00
_cell_angle_beta 90.00
_cell_angle_gamma 120.00
_space_group_name_H-M_alt 'R 3 m'
_space_group_IT_number 160
_space_group_name_Hall 'R 3 -2"'
loop_
_atom_site_label
_atom_site_fract_x
_atom_site_fract_y
_atom_site_fract_z
Mg1 0.0000 0.0000 0.0000
Cu1 0.0000 0.0000 0.4913
Cu2 0.0000 0.0000 0.7498
W1 0.0000 0.0000 0.2398
# Fermi-level density of states: 4.0 states/eV/f.u.
# Total magnetization: 0.00 Bohr magnetons per cell
# DFT formation energy: 1.335 eV/f.u.